Entry 1:
DFT (PBE) results for a relaxed structure of ReCl3O2.

a = 14.2793 Å, b = 3.5109 Å, c = 11.7789 Å
α = 90.00°, β = 90.00°, γ = 90.00°
Atoms (fractional coordinates):
Re (0.1046, 0.2500, 0.2163)
Re (0.3954, 0.7500, 0.7163)
Re (0.6046, 0.2500, 0.2837)
Re (0.8954, 0.7500, 0.7837)
Cl (0.0482, 0.7500, 0.8617)
Cl (0.1253, 0.2500, 0.4144)
Cl (0.2462, 0.7500, 0.2378)
Cl (0.2538, 0.2500, 0.7378)
Cl (0.3747, 0.7500, 0.9144)
Cl (0.4518, 0.2500, 0.3617)
Cl (0.5482, 0.7500, 0.6383)
Cl (0.6253, 0.2500, 0.0856)
Cl (0.7462, 0.7500, 0.2622)
Cl (0.7538, 0.2500, 0.7622)
Cl (0.8747, 0.7500, 0.5856)
Cl (0.9518, 0.2500, 0.1383)
O (0.0576, 0.7500, 0.2450)
O (0.1537, 0.2500, 0.0835)
O (0.3463, 0.7500, 0.5835)
O (0.4424, 0.2500, 0.7450)
O (0.5576, 0.7500, 0.2550)
O (0.6537, 0.2500, 0.4165)
O (0.8463, 0.7500, 0.9165)
O (0.9424, 0.2500, 0.7550)

Values from the calculation:
E_tot in eV/atom: -5.38
Excess energy over the best structure of this formula in the dataset in meV/atom: 231
ΔE_f (raw) in eV/atom: -0.73
Crystal system: orthorhombic
Magnetization in μB per formula unit: 0.0

Entry 2:
DFT (PBE) results for a relaxed structure of LiCoIr2.

a = 2.6562 Å, b = 2.6562 Å, c = 8.9759 Å
α = 90.00°, β = 90.00°, γ = 118.57°
Atoms (fractional coordinates):
Li (0.0000, 0.0000, 0.0000)
Co (0.5000, 0.5000, 0.2497)
Ir (0.0000, 0.0000, 0.4868)
Ir (0.5000, 0.5000, 0.7518)

Values from the calculation:
E_tot in eV/atom: -6.46
Excess energy over the best structure of this formula in the dataset in meV/atom: 263
Crystal system: orthorhombic
Energy relative to the elements in eV per atom: 0.229
D(E_F) in states/eV/cell: 5.89
Magnetization in μB per formula unit: 2.0

Entry 3:
DFT (PBE) results for a relaxed structure of Tl2Ir.

a = 13.3452 Å, b = 13.3452 Å, c = 4.0212 Å
α = 90.00°, β = 90.00°, γ = 167.36°
Atoms (fractional coordinates):
Tl (0.0532, 0.9468, 0.7500)
Tl (0.3475, 0.6525, 0.7500)
Tl (0.6525, 0.3475, 0.2500)
Tl (0.9468, 0.0532, 0.2500)
Ir (0.2638, 0.7362, 0.2500)
Ir (0.7362, 0.2638, 0.7500)

Values from the calculation:
E_tot in eV/atom: -4.22
Crystal system: orthorhombic
Energy relative to the elements in eV per atom: 0.310
D(E_F) in states/eV/cell: 3.10
Magnetization in μB per formula unit: 0.0

Entry 4:
DFT (PBE) results for a relaxed structure of Nd8HgOs2.

a = 8.0583 Å, b = 8.0583 Å, c = 5.7264 Å
α = 97.47°, β = 97.47°, γ = 112.37°
Atoms (fractional coordinates):
Nd (0.0655, 0.3270, 0.5785)
Nd (0.2479, 0.7521, 0.0000)
Nd (0.3270, 0.0655, 0.5785)
Nd (0.3825, 0.3825, 0.2038)
Nd (0.6175, 0.6175, 0.7962)
Nd (0.6730, 0.9345, 0.4215)
Nd (0.7521, 0.2479, 0.0000)
Nd (0.9345, 0.6730, 0.4215)
Hg (0.0000, 0.0000, 0.0000)
Os (0.3107, 0.6893, 0.5000)
Os (0.6893, 0.3107, 0.5000)

Values from the calculation:
E_tot in eV/atom: -5.61
Crystal system: monoclinic
Energy relative to the elements in eV per atom: -0.076
D(E_F) in states/eV/cell: 13.66
Magnetization in μB per formula unit: 0.0

Entry 5:
DFT (PBE) results for a relaxed structure of PrNpHN2.

a = 3.5333 Å, b = 3.5333 Å, c = 11.0890 Å
α = 90.00°, β = 90.00°, γ = 90.00°
Atoms (fractional coordinates):
Pr (0.2500, 0.2500, 0.1456)
Pr (0.7500, 0.7500, 0.8544)
Np (0.2500, 0.2500, 0.6072)
Np (0.7500, 0.7500, 0.3928)
H (0.2500, 0.7500, 0.0000)
H (0.7500, 0.2500, 0.0000)
N (0.2500, 0.2500, 0.3960)
N (0.2500, 0.2500, 0.7899)
N (0.7500, 0.7500, 0.2101)
N (0.7500, 0.7500, 0.6040)

Values from the calculation:
E_tot in eV/atom: -8.63
Crystal system: tetragonal
D(E_F) in states/eV/cell: 6.60
Magnetization in μB per formula unit: 2.8

Entry 6:
DFT (PBE) results for a relaxed structure of CaAcAgAu.

a = 5.3966 Å, b = 5.3966 Å, c = 5.3966 Å
α = 60.00°, β = 60.00°, γ = 60.00°
Atoms (fractional coordinates):
Ca (0.0000, 0.0000, 0.0000)
Ac (0.5000, 0.5000, 0.5000)
Ag (0.2500, 0.2500, 0.2500)
Au (0.7500, 0.7500, 0.7500)

Values from the calculation:
E_tot in eV/atom: -3.61
Excess energy over the best structure of this formula in the dataset in meV/atom: 13
Crystal system: cubic
Energy relative to the elements in eV per atom: -0.550
D(E_F) in states/eV/cell: 2.84
Magnetization in μB per formula unit: 0.0

Entry 7:
DFT (PBE) results for a relaxed structure of NaSn2Pb2.

a = 6.1219 Å, b = 6.1219 Å, c = 7.9700 Å
α = 130.56°, β = 130.56°, γ = 42.94°
Atoms (fractional coordinates):
Na (0.0000, 0.0000, 0.0000)
Sn (0.3893, 0.3893, 0.5882)
Sn (0.6107, 0.6107, 0.4118)
Pb (0.1896, 0.1896, 0.7806)
Pb (0.8104, 0.8104, 0.2194)

Values from the calculation:
E_tot in eV/atom: -3.41
Excess energy over the best structure of this formula in the dataset in meV/atom: 0
Crystal system: monoclinic
Energy relative to the elements in eV per atom: -0.060
D(E_F) in states/eV/cell: 2.10
Magnetization in μB per formula unit: 0.0

Entry 8:
DFT (PBE) results for a relaxed structure of TiFe2TeH.

a = 3.8991 Å, b = 3.8991 Å, c = 3.9786 Å
α = 90.00°, β = 90.00°, γ = 90.00°
Atoms (fractional coordinates):
Ti (0.0000, 0.0000, 0.0000)
Fe (0.0000, 0.5000, 0.5000)
Fe (0.5000, 0.0000, 0.5000)
Te (0.5000, 0.5000, 0.0000)
H (0.0000, 0.0000, 0.5000)

Values from the calculation:
E_tot in eV/atom: -6.30
Crystal system: tetragonal
D(E_F) in states/eV/cell: 3.48
Magnetization in μB per formula unit: 3.1

Entry 9:
DFT (PBE) results for a relaxed structure of Hf4Zr4Sc3.

a = 3.1903 Å, b = 4.4965 Å, c = 17.8654 Å
α = 82.77°, β = 84.96°, γ = 90.00°
Atoms (fractional coordinates):
Hf (0.0898, 0.0898, 0.3200)
Hf (0.2722, 0.2722, 0.9557)
Hf (0.7278, 0.7278, 0.0443)
Hf (0.9102, 0.9102, 0.6800)
Zr (0.1846, 0.1838, 0.1320)
Zr (0.4519, 0.4525, 0.5954)
Zr (0.5481, 0.5475, 0.4046)
Zr (0.8154, 0.8162, 0.8680)
Sc (0.0000, 0.0000, 0.5000)
Sc (0.3631, 0.3637, 0.7734)
Sc (0.6369, 0.6363, 0.2266)

Values from the calculation:
E_tot in eV/atom: -8.42
Excess energy over the best structure of this formula in the dataset in meV/atom: 0
Crystal system: triclinic
Energy relative to the elements in eV per atom: 0.037
D(E_F) in states/eV/cell: 14.24
Magnetization in μB per formula unit: 0.0

Entry 10:
DFT (PBE) results for a relaxed structure of PrLuAgIr.

a = 5.0332 Å, b = 5.0332 Å, c = 5.0332 Å
α = 60.00°, β = 60.00°, γ = 60.00°
Atoms (fractional coordinates):
Pr (0.0000, 0.0000, 0.0000)
Lu (0.5000, 0.5000, 0.5000)
Ag (0.2500, 0.2500, 0.2500)
Ir (0.7500, 0.7500, 0.7500)

Values from the calculation:
E_tot in eV/atom: -5.76
Crystal system: cubic
Energy relative to the elements in eV per atom: -0.504
D(E_F) in states/eV/cell: 3.05
Magnetization in μB per formula unit: 0.0

Entry 11:
DFT (PBE) results for a relaxed structure of Be2Nb2GaFe5.

a = 8.5957 Å, b = 8.5957 Å, c = 3.1928 Å
α = 90.00°, β = 90.00°, γ = 90.00°
Atoms (fractional coordinates):
Be (0.1193, 0.3807, 0.0000)
Be (0.3807, 0.8807, 0.0000)
Be (0.6193, 0.1193, 0.0000)
Be (0.8807, 0.6193, 0.0000)
Nb (0.1759, 0.6759, 0.0000)
Nb (0.3241, 0.1759, 0.0000)
Nb (0.6759, 0.8241, 0.0000)
Nb (0.8241, 0.3241, 0.0000)
Ga (0.0000, 0.0000, 0.0000)
Ga (0.5000, 0.5000, 0.0000)
Fe (0.0000, 0.5000, 0.5000)
Fe (0.0666, 0.2136, 0.5000)
Fe (0.2136, 0.9334, 0.5000)
Fe (0.2864, 0.4334, 0.5000)
Fe (0.4334, 0.7136, 0.5000)
Fe (0.5000, 0.0000, 0.5000)
Fe (0.5666, 0.2864, 0.5000)
Fe (0.7136, 0.5666, 0.5000)
Fe (0.7864, 0.0666, 0.5000)
Fe (0.9334, 0.7864, 0.5000)

Values from the calculation:
E_tot in eV/atom: -7.45
Crystal system: tetragonal
Energy relative to the elements in eV per atom: -0.158
D(E_F) in states/eV/cell: 16.88
Magnetization in μB per formula unit: 4.5

Entry 12:
DFT (PBE) results for a relaxed structure of Cs3Pa3HgSe8.

a = 9.6988 Å, b = 9.6988 Å, c = 9.6988 Å
α = 53.21°, β = 53.21°, γ = 53.21°
Atoms (fractional coordinates):
Cs (0.0000, 0.5000, 0.5000)
Cs (0.5000, 0.0000, 0.5000)
Cs (0.5000, 0.5000, 0.0000)
Pa (0.0000, 0.0000, 0.5000)
Pa (0.0000, 0.5000, 0.0000)
Pa (0.5000, 0.0000, 0.0000)
Hg (0.5000, 0.5000, 0.5000)
Se (0.1933, 0.7458, 0.7458)
Se (0.2293, 0.2293, 0.2293)
Se (0.2542, 0.2542, 0.8067)
Se (0.2542, 0.8067, 0.2542)
Se (0.7458, 0.1933, 0.7458)
Se (0.7458, 0.7458, 0.1933)
Se (0.7707, 0.7707, 0.7707)
Se (0.8067, 0.2542, 0.2542)

Values from the calculation:
E_tot in eV/atom: -5.14
ΔE_f (raw) in eV/atom: -1.19
Crystal system: trigonal
D(E_F) in states/eV/cell: 17.25
Magnetization in μB per formula unit: 2.8